Record 1
# PBE-GGA ScCuAgB, relaxed
# Polymorph energy (0 for the lowest one) = 0.40 eV per formula unit
data_ScCuAgB
_chemical_formula_sum 'Sc4 Cu4 Ag4 B4'
_symmetry_space_group_name_H-M 'F -4 3 m'
_symmetry_Int_Tables_number 216
_symmetry_space_group_name_Hall 'F -4 2 3'
_cell_length_a 6.081
_cell_length_b 6.081
_cell_length_c 6.081
_cell_angle_alpha 90.00
_cell_angle_beta 90.00
_cell_angle_gamma 90.00
loop_
_atom_site_label
_atom_site_fract_x
_atom_site_fract_y
_atom_site_fract_z
Sc1 0.000 0.000 0.000
Cu1 0.250 0.250 0.750
Ag1 0.250 0.250 0.250
B1 0.000 0.000 0.500

Record 2
# PBE-GGA ScCuAgB, relaxed
# Polymorph energy (0 for the lowest one) = 0.00 eV per formula unit
data_ScCuAgB
_chemical_formula_sum 'Sc4 Cu4 Ag4 B4'
_symmetry_space_group_name_H-M 'F -4 3 m'
_symmetry_Int_Tables_number 216
_symmetry_space_group_name_Hall 'F -4 2 3'
_cell_length_a 6.123
_cell_length_b 6.123
_cell_length_c 6.123
_cell_angle_alpha 90.00
_cell_angle_beta 90.00
_cell_angle_gamma 90.00
loop_
_atom_site_label
_atom_site_fract_x
_atom_site_fract_y
_atom_site_fract_z
Sc1 0.000 0.000 0.000
Cu1 0.000 0.000 0.500
Ag1 0.250 0.250 0.750
B1 0.250 0.250 0.250

Record 3
# PBE-GGA CuTcAgB, relaxed
# Polymorph energy (0 for the lowest one) = 0.00 eV per formula unit
data_CuTcAgB
_chemical_formula_sum 'Cu4 Tc4 Ag4 B4'
_symmetry_space_group_name_H-M 'F -4 3 m'
_symmetry_Int_Tables_number 216
_symmetry_space_group_name_Hall 'F -4 2 3'
_cell_length_a 5.904
_cell_length_b 5.904
_cell_length_c 5.904
_cell_angle_alpha 90.00
_cell_angle_beta 90.00
_cell_angle_gamma 90.00
loop_
_atom_site_label
_atom_site_fract_x
_atom_site_fract_y
_atom_site_fract_z
Cu1 0.000 0.000 0.000
Tc1 0.000 0.000 0.500
Ag1 0.250 0.250 0.250
B1 0.250 0.250 0.750

Record 4
# PBE-GGA YCuAgB, relaxed
# Polymorph energy (0 for the lowest one) = 0.00 eV per formula unit
data_YCuAgB
_chemical_formula_sum 'Y4 Cu4 Ag4 B4'
_symmetry_space_group_name_H-M 'F -4 3 m'
_symmetry_Int_Tables_number 216
_symmetry_space_group_name_Hall 'F -4 2 3'
_cell_length_a 6.383
_cell_length_b 6.383
_cell_length_c 6.383
_cell_angle_alpha 90.00
_cell_angle_beta 90.00
_cell_angle_gamma 90.00
loop_
_atom_site_label
_atom_site_fract_x
_atom_site_fract_y
_atom_site_fract_z
Y1 0.000 0.000 0.000
Cu1 0.000 0.000 0.500
Ag1 0.250 0.250 0.750
B1 0.250 0.250 0.250

Record 5
# PBE-GGA YCuAgB, relaxed
# Polymorph energy (0 for the lowest one) = 0.58 eV per formula unit
data_YCuAgB
_chemical_formula_sum 'Y4 Cu4 Ag4 B4'
_symmetry_space_group_name_H-M 'F -4 3 m'
_symmetry_Int_Tables_number 216
_symmetry_space_group_name_Hall 'F -4 2 3'
_cell_length_a 6.373
_cell_length_b 6.373
_cell_length_c 6.373
_cell_angle_alpha 90.00
_cell_angle_beta 90.00
_cell_angle_gamma 90.00
loop_
_atom_site_label
_atom_site_fract_x
_atom_site_fract_y
_atom_site_fract_z
Y1 0.000 0.000 0.000
Cu1 0.250 0.250 0.750
Ag1 0.250 0.250 0.250
B1 0.000 0.000 0.500

Record 6
# PBE-GGA DyAgB, relaxed
# Polymorph energy (0 for the lowest one) = 0.00 eV per formula unit
data_DyAgB
_chemical_formula_sum 'Dy4 Ag4 B4'
_symmetry_space_group_name_H-M 'F -4 3 m'
_symmetry_Int_Tables_number 216
_symmetry_space_group_name_Hall 'F -4 2 3'
_cell_length_a 6.041
_cell_length_b 6.041
_cell_length_c 6.041
_cell_angle_alpha 90.00
_cell_angle_beta 90.00
_cell_angle_gamma 90.00
loop_
_atom_site_label
_atom_site_fract_x
_atom_site_fract_y
_atom_site_fract_z
Dy1 0.000 0.000 0.000
Ag1 0.000 0.000 0.500
B1 0.250 0.250 0.750

Record 7
# PBE-GGA DyAgB, relaxed
# Polymorph energy (0 for the lowest one) = 2.24 eV per formula unit
data_DyAgB
_chemical_formula_sum 'Dy4 Ag4 B4'
_symmetry_space_group_name_H-M 'F -4 3 m'
_symmetry_Int_Tables_number 216
_symmetry_space_group_name_Hall 'F -4 2 3'
_cell_length_a 6.383
_cell_length_b 6.383
_cell_length_c 6.383
_cell_angle_alpha 90.00
_cell_angle_beta 90.00
_cell_angle_gamma 90.00
loop_
_atom_site_label
_atom_site_fract_x
_atom_site_fract_y
_atom_site_fract_z
Dy1 0.000 0.000 0.000
Ag1 0.250 0.250 0.750
B1 0.250 0.250 0.250

Record 8
# PBE-GGA ErAgB3, relaxed
# Raw total energy = -101.467 eV per cell
data_ErAgB3
_chemical_formula_sum 'Er4 Ag4 B12'
_symmetry_space_group_name_H-M 'C m m m'
_symmetry_Int_Tables_number 65
_symmetry_space_group_name_Hall '-C 2 2'
_cell_length_a 3.447
_cell_length_b 20.347
_cell_length_c 3.745
_cell_angle_alpha 90.00
_cell_angle_beta 90.00
_cell_angle_gamma 90.00
loop_
_atom_site_label
_atom_site_fract_x
_atom_site_fract_y
_atom_site_fract_z
Er1 0.000 0.177 0.000
Ag1 0.000 0.394 0.500
B1 0.000 0.039 0.500
B2 0.000 0.270 0.500
B3 0.000 0.460 0.000

Record 9
# PBE-GGA ErAgB4, relaxed
# Polymorph energy (0 for the lowest one) = 0.38 eV per formula unit
data_ErAgB4
_chemical_formula_sum 'Er1 Ag1 B4'
_symmetry_space_group_name_H-M 'P 6/m m m'
_symmetry_Int_Tables_number 191
_symmetry_space_group_name_Hall '-P 6 2'
_cell_length_a 3.2119
_cell_length_b 3.2119
_cell_length_c 7.2553
_cell_angle_alpha 90.00
_cell_angle_beta 90.00
_cell_angle_gamma 120.00
loop_
_atom_site_label
_atom_site_fract_x
_atom_site_fract_y
_atom_site_fract_z
Er1 0.0000 0.0000 0.0000
Ag1 0.0000 0.0000 0.5000
B1 0.3333 0.6667 0.2504

Record 10
# PBE-GGA ErAgB4, relaxed
# Polymorph energy (0 for the lowest one) = 0.00 eV per formula unit
data_ErAgB4
_chemical_formula_sum 'Er2 Ag2 B8'
_symmetry_space_group_name_H-M 'I m m m'
_symmetry_Int_Tables_number 71
_symmetry_space_group_name_Hall '-I 2 2'
_cell_length_a 3.162
_cell_length_b 5.397
_cell_length_c 7.798
_cell_angle_alpha 90.00
_cell_angle_beta 90.00
_cell_angle_gamma 90.00
loop_
_atom_site_label
_atom_site_fract_x
_atom_site_fract_y
_atom_site_fract_z
Er1 0.000 0.000 0.000
Ag1 0.000 0.000 0.500
B1 0.000 0.320 0.262

Record 11
# PBE-GGA AgBF4, relaxed
# Polymorph energy (0 for the lowest one) = 0.28 eV per formula unit
data_AgBF4
_chemical_formula_sum 'Ag4 B4 F16'
_symmetry_space_group_name_H-M 'C m c m'
_symmetry_Int_Tables_number 63
_symmetry_space_group_name_Hall '-C 2c 2'
_cell_length_a 6.608
_cell_length_b 6.148
_cell_length_c 6.604
_cell_angle_alpha 90.00
_cell_angle_beta 90.00
_cell_angle_gamma 90.00
loop_
_atom_site_label
_atom_site_fract_x
_atom_site_fract_y
_atom_site_fract_z
Ag1 0.000 0.096 0.250
B1 0.000 0.407 0.750
F1 0.000 0.274 0.579
F2 0.172 0.458 0.250

Record 12
# PBE-GGA AgB6S3O6F6, relaxed
# Raw total energy = -502.129 eV per cell
data_AgB6S3O6F6
_chemical_formula_sum 'Ag4 B24 S12 O24 F24'
_symmetry_space_group_name_H-M 'P 1 21/c 1'
_symmetry_Int_Tables_number 14
_cell_length_a 8.805
_cell_length_b 9.781
_cell_length_c 14.645
_cell_angle_alpha 90.00
_cell_angle_beta 119.17
_cell_angle_gamma 90.00
loop_
_symmetry_equiv_pos_as_xyz
'x,y,z'
'-x,-y,-z'
'-x,y+1/2,-z+1/2'
'x,-y+1/2,z+1/2'
loop_
_atom_site_label
_atom_site_fract_x
_atom_site_fract_y
_atom_site_fract_z
Ag1 0.127 0.028 0.359
B1 0.314 0.504 0.508
B2 0.317 0.532 0.388
B3 0.362 0.134 0.946
B4 0.408 0.656 0.490
B5 0.484 0.112 0.084
B6 0.486 0.067 0.889
S1 0.118 0.230 0.118
S2 0.174 0.683 0.677
S3 0.413 0.533 0.121
O1 0.073 0.133 0.635
O2 0.101 0.665 0.746
O3 0.104 0.702 0.105
O4 0.145 0.127 0.195
O5 0.264 0.041 0.541
O6 0.421 0.001 0.373
F1 0.157 0.510 0.509
F2 0.166 0.561 0.296
F3 0.244 0.239 0.899
F4 0.326 0.719 0.980
F5 0.471 0.123 0.797
F6 0.479 0.202 0.157

Record 13
# PBE-GGA Fe2AgB, relaxed
# Raw total energy = -93.241 eV per cell
data_Fe2AgB
_chemical_formula_sum 'Fe8 Ag4 B4'
_symmetry_space_group_name_H-M 'F -4 3 m'
_symmetry_Int_Tables_number 216
_symmetry_space_group_name_Hall 'F -4 2 3'
_cell_length_a 5.735
_cell_length_b 5.735
_cell_length_c 5.735
_cell_angle_alpha 90.00
_cell_angle_beta 90.00
_cell_angle_gamma 90.00
loop_
_atom_site_label
_atom_site_fract_x
_atom_site_fract_y
_atom_site_fract_z
Fe1 0.000 0.000 0.000
Fe2 0.250 0.250 0.250
Ag1 0.250 0.250 0.750
B1 0.000 0.000 0.500

Record 14
# PBE-GGA FeAg2B, relaxed
# Raw total energy = -67.632 eV per cell
data_FeAg2B
_chemical_formula_sum 'Fe4 Ag8 B4'
_symmetry_space_group_name_H-M 'F -4 3 m'
_symmetry_Int_Tables_number 216
_symmetry_space_group_name_Hall 'F -4 2 3'
_cell_length_a 5.958
_cell_length_b 5.958
_cell_length_c 5.958
_cell_angle_alpha 90.00
_cell_angle_beta 90.00
_cell_angle_gamma 90.00
loop_
_atom_site_label
_atom_site_fract_x
_atom_site_fract_y
_atom_site_fract_z
Fe1 0.000 0.000 0.000
Ag1 0.000 0.000 0.500
Ag2 0.250 0.250 0.250
B1 0.250 0.250 0.750

Record 15
# PBE-GGA FeAgB2, relaxed
# Raw total energy = -75.497 eV per cell
data_FeAgB2
_chemical_formula_sum 'Fe4 Ag4 B8'
_symmetry_space_group_name_H-M 'F -4 3 m'
_symmetry_Int_Tables_number 216
_symmetry_space_group_name_Hall 'F -4 2 3'
_cell_length_a 5.593
_cell_length_b 5.593
_cell_length_c 5.593
_cell_angle_alpha 90.00
_cell_angle_beta 90.00
_cell_angle_gamma 90.00
loop_
_atom_site_label
_atom_site_fract_x
_atom_site_fract_y
_atom_site_fract_z
Fe1 0.000 0.000 0.000
Ag1 0.250 0.250 0.250
B1 0.000 0.000 0.500
B2 0.250 0.250 0.750

Record 16
# PBE-GGA HfFeAgB, relaxed
# Polymorph energy (0 for the lowest one) = 0.74 eV per formula unit
data_HfFeAgB
_chemical_formula_sum 'Hf4 Fe4 Ag4 B4'
_symmetry_space_group_name_H-M 'F -4 3 m'
_symmetry_Int_Tables_number 216
_symmetry_space_group_name_Hall 'F -4 2 3'
_cell_length_a 6.083
_cell_length_b 6.083
_cell_length_c 6.083
_cell_angle_alpha 90.00
_cell_angle_beta 90.00
_cell_angle_gamma 90.00
loop_
_atom_site_label
_atom_site_fract_x
_atom_site_fract_y
_atom_site_fract_z
Hf1 0.000 0.000 0.000
Fe1 0.250 0.250 0.750
Ag1 0.250 0.250 0.250
B1 0.000 0.000 0.500

Record 17
# PBE-GGA HfFeAgB, relaxed
# Polymorph energy (0 for the lowest one) = 0.00 eV per formula unit
data_HfFeAgB
_chemical_formula_sum 'Hf4 Fe4 Ag4 B4'
_symmetry_space_group_name_H-M 'F -4 3 m'
_symmetry_Int_Tables_number 216
_symmetry_space_group_name_Hall 'F -4 2 3'
_cell_length_a 6.123
_cell_length_b 6.123
_cell_length_c 6.123
_cell_angle_alpha 90.00
_cell_angle_beta 90.00
_cell_angle_gamma 90.00
loop_
_atom_site_label
_atom_site_fract_x
_atom_site_fract_y
_atom_site_fract_z
Hf1 0.000 0.000 0.000
Fe1 0.000 0.000 0.500
Ag1 0.250 0.250 0.750
B1 0.250 0.250 0.250

Record 18
# PBE-GGA FeAgHgB, relaxed
# Polymorph energy (0 for the lowest one) = 0.00 eV per formula unit
data_FeAgHgB
_chemical_formula_sum 'Fe4 Ag4 Hg4 B4'
_symmetry_space_group_name_H-M 'F -4 3 m'
_symmetry_Int_Tables_number 216
_symmetry_space_group_name_Hall 'F -4 2 3'
_cell_length_a 6.225
_cell_length_b 6.225
_cell_length_c 6.225
_cell_angle_alpha 90.00
_cell_angle_beta 90.00
_cell_angle_gamma 90.00
loop_
_atom_site_label
_atom_site_fract_x
_atom_site_fract_y
_atom_site_fract_z
Fe1 0.000 0.000 0.000
Ag1 0.000 0.000 0.500
Hg1 0.250 0.250 0.250
B1 0.250 0.250 0.750

Record 19
# PBE-GGA FeAgHgB, relaxed
# Polymorph energy (0 for the lowest one) = 0.09 eV per formula unit
data_FeAgHgB
_chemical_formula_sum 'Fe4 Ag4 Hg4 B4'
_symmetry_space_group_name_H-M 'F -4 3 m'
_symmetry_Int_Tables_number 216
_symmetry_space_group_name_Hall 'F -4 2 3'
_cell_length_a 6.242
_cell_length_b 6.242
_cell_length_c 6.242
_cell_angle_alpha 90.00
_cell_angle_beta 90.00
_cell_angle_gamma 90.00
loop_
_atom_site_label
_atom_site_fract_x
_atom_site_fract_y
_atom_site_fract_z
Fe1 0.000 0.000 0.000
Ag1 0.250 0.250 0.250
Hg1 0.000 0.000 0.500
B1 0.250 0.250 0.750

Record 20
# PBE-GGA FeAgBIr, relaxed
# Polymorph energy (0 for the lowest one) = 0.00 eV per formula unit
data_FeAgBIr
_chemical_formula_sum 'Fe4 Ag4 B4 Ir4'
_symmetry_space_group_name_H-M 'F -4 3 m'
_symmetry_Int_Tables_number 216
_symmetry_space_group_name_Hall 'F -4 2 3'
_cell_length_a 5.899
_cell_length_b 5.899
_cell_length_c 5.899
_cell_angle_alpha 90.00
_cell_angle_beta 90.00
_cell_angle_gamma 90.00
loop_
_atom_site_label
_atom_site_fract_x
_atom_site_fract_y
_atom_site_fract_z
Fe1 0.000 0.000 0.000
Ag1 0.250 0.250 0.250
B1 0.250 0.250 0.750
Ir1 0.000 0.000 0.500